# 1
Crystalline Ti3CoPt at its relaxed geometry, computed with PBE.

Lattice parameters (Å, degrees): 4.3049 5.2759 6.9851 90.00 90.00 90.00
Closest atoms and distances in Å follow each position.
Space group Pmmn (No. 59, origin choice 2)
One atom of each set of equivalent atoms:
Ti 0.2500 0.0019 0.1508  3 Co 2.40-2.52, 2 Ti 2.62-2.66
Ti 0.2500 0.7500 0.5400  1 Co 2.27
Co 0.2500 0.7500 0.8651  7 Ti 2.27-2.52
Pt 0.2500 0.2500 0.6854  8 Ti 2.67-2.83, 2 Co 2.92

E above lowest polymorph (kJ/mol of formula units): 70
ΔE_f (eV/f.u.): -1.94
Calculated total energy (eV/cell): -77.551
Calculated volume (Å³ per atom): 15.86


# 2
Crystalline Nb3FePb at its relaxed geometry, computed with PBE.

Lattice parameters (Å, degrees): 4.6546 4.6546 4.6546 90.00 90.00 90.00
Closest atoms and distances in Å follow each position.
Space group Pm-3m (No. 221)
One atom of each set of equivalent atoms:
Nb 0.0000 0.0000 0.5000  2 Fe 2.33
Fe 0.0000 0.0000 0.0000  6 Nb 2.33
Pb 0.5000 0.5000 0.5000  12 Nb 3.29

E above lowest polymorph (kJ/mol of formula units): 0
ΔE_f (eV/f.u.): 2.66
Calculated total energy (eV/cell): -39.720
Calculated volume (Å³ per atom): 20.17


# 3
Crystalline VCoB4 at its relaxed geometry, computed with PBE.

Lattice parameters (Å, degrees): 5.6543 11.1270 3.0092 90.00 90.00 90.00
Closest atoms and distances in Å follow each position.
Space group Pbam (No. 55)
One atom of each set of equivalent atoms:
V 0.1390 0.1609 0.0000  14 B 2.37-2.64
Co 0.1407 0.4096 0.0000  10 B 2.06-2.17
B 0.0191 0.6954 0.5000  3 B 1.66-1.79
B 0.1210 0.5500 0.5000  3 B 1.71-1.76
B 0.1257 0.9662 0.5000  3 B 1.61-1.77
B 0.2022 0.8116 0.5000  3 B 1.66-1.79

ΔE_f (eV/f.u.): -1.64
Calculated total energy (eV/cell): -178.280
Calculated volume (Å³ per atom): 7.89


# 4
Crystalline ZrBAs2Br at its relaxed geometry, computed with PBE.

Lattice parameters (Å, degrees): 5.2166 5.2166 5.3574 90.00 90.00 90.00
Closest atoms and distances in Å follow each position.
Space group P4/mmm (No. 123)
One atom of each set of equivalent atoms:
Zr 0.0000 0.0000 0.0000  4 As 2.61, 2 Br 2.68
B 0.5000 0.5000 0.5000  4 Br 3.69, 8 As 3.74
As 0.0000 0.5000 0.0000  2 Zr 2.61
Br 0.0000 0.0000 0.5000  2 Zr 2.68

E above lowest polymorph (kJ/mol of formula units): 193
Calculated total energy (eV/cell): -21.745
Uncorrected formation energy (eV per atom): 0.89
Calculated volume (Å³ per atom): 29.16


# 5
Crystalline CaAsSN2 at its relaxed geometry, computed with PBE.

Lattice parameters (Å, degrees): 3.8539 3.8539 5.1204 90.00 90.00 90.00
Closest atoms and distances in Å follow each position.
Space group P4/mmm (No. 123)
One atom of each set of equivalent atoms:
Ca 0.0000 0.0000 0.0000  4 S 2.73
As 0.5000 0.5000 0.5000  4 N 1.93
S 0.5000 0.5000 0.0000  2 As 2.56, 4 Ca 2.73
N 0.0000 0.5000 0.5000  2 As 1.93

E above lowest polymorph (kJ/mol of formula units): 0
Calculated total energy (eV/cell): -25.916
Uncorrected formation energy (eV per atom): 0.30
Calculated volume (Å³ per atom): 15.21


# 6
Crystalline BaSnHSe2 at its relaxed geometry, computed with PBE.

Lattice parameters (Å, degrees): 5.5909 5.5909 4.1020 90.00 90.00 90.00
Closest atoms and distances in Å follow each position.
Space group P4/mmm (No. 123)
One atom of each set of equivalent atoms:
Ba 0.0000 0.0000 0.0000  8 Se 3.47
Sn 0.5000 0.5000 0.5000  2 H 2.05
H 0.5000 0.5000 0.0000  2 Sn 2.05
Se 0.0000 0.5000 0.5000  2 Sn 2.80

Calculated total energy (eV/cell): -20.434
Calculated volume (Å³ per atom): 25.64


# 7
Crystalline Li2HgAu at its relaxed geometry, computed with PBE.

Lattice parameters (Å, degrees): 8.2243 2.9805 6.0884 90.00 98.80 90.00
Closest atoms and distances in Å follow each position.
Space group C2/m (No. 12)
One atom of each set of equivalent atoms:
Li 0.2456 0.0000 0.2296  3 Au 2.69-2.72, 3 Hg 2.79-2.87, 2 Li 2.98
Hg 0.0000 0.0000 0.5000  6 Li 2.79-2.87, 2 Hg 2.98
Au 0.0000 0.5000 0.0000  6 Li 2.69-2.72, 2 Au 2.98

E above lowest polymorph (kJ/mol of formula units): 49
ΔE_f (eV/f.u.): -1.31
Calculated total energy (eV/cell): -17.427
Calculated volume (Å³ per atom): 18.44


# 8
Crystalline Ba6Ca2Tl at its relaxed geometry, computed with PBE.

Lattice parameters (Å, degrees): 20.7156 11.2634 4.1353 90.00 98.00 90.00
Closest atoms and distances in Å follow each position.
Space group C2/m (No. 12)
One atom of each set of equivalent atoms:
Ba 0.0000 0.2150 0.0000  2 Tl 3.82, 6 Ba 4.08-4.26
Ba 0.1647 0.3294 0.5718  6 Ba 3.84-4.26, 1 Tl 3.89, 2 Ca 4.01-4.18
Ca 0.1705 0.0000 0.9437  6 Ba 4.01-4.32, 2 Ca 4.14
Tl 0.0000 0.5000 0.5000  8 Ba 3.82-3.89, 2 Tl 4.14

ΔE_f (eV/f.u.): 0.25
Calculated total energy (eV/cell): -35.309
Calculated volume (Å³ per atom): 53.08


# 9
Crystalline Ba2TlInS5 at its relaxed geometry, computed with PBE.

Lattice parameters (Å, degrees): 4.1276 19.1724 12.6744 90.00 90.00 90.00
Closest atoms and distances in Å follow each position.
Space group Cmc2_1 (No. 36)
One atom of each set of equivalent atoms:
Ba 0.0000 0.1129 0.0000  8 S 3.20-3.55
Ba 0.0000 0.1224 0.6177  7 S 3.18-3.39
Tl 0.0000 0.2289 0.3395  5 S 2.56-2.84
In 0.0000 0.4399 0.7701  4 S 2.45-2.56
S 0.0000 0.0429 0.3785  2 In 2.50
S 0.0000 0.2826 0.9811  2 Tl 2.74
S 0.0000 0.3146 0.7001  1 In 2.56, 2 Tl 2.84
S 0.0000 0.3609 0.3110  1 Tl 2.56
S 0.0000 0.4972 0.5973  1 In 2.45

Calculated total energy (eV/cell): -159.361
Uncorrected formation energy (eV per atom): -1.14
Calculated volume (Å³ per atom): 27.86


# 10
Crystalline Cs2TcPF6 at its relaxed geometry, computed with PBE.

Lattice parameters (Å, degrees): 5.9049 5.9049 11.3190 90.00 90.00 90.00
Closest atoms and distances in Å follow each position.
Space group I4/mmm (No. 139)
One atom of each set of equivalent atoms:
Cs 0.0000 0.5000 0.2500  4 F 3.07
Tc 0.0000 0.0000 0.0000  6 F 1.99-2.10
P 0.0000 0.0000 0.5000  4 F 2.08
F 0.0000 0.0000 0.1761  1 Tc 1.99
F 0.2487 0.2487 0.5000  1 P 2.08, 1 Tc 2.10

Calculated total energy (eV/cell): -95.024
Uncorrected formation energy (eV per atom): -1.88
Calculated volume (Å³ per atom): 19.73


# 11
Crystalline K2TaSi at its relaxed geometry, computed with PBE.

Lattice parameters (Å, degrees): 2.8747 2.8747 12.0450 90.00 90.00 90.00
Closest atoms and distances in Å follow each position.
Space group P4/mmm (No. 123)
One atom of each set of equivalent atoms:
K 0.0000 0.0000 0.2252  4 K 2.87
Ta 0.5000 0.5000 0.5000  4 Ta 2.87
Si 0.5000 0.5000 0.0000  4 Si 2.87

Calculated total energy (eV/cell): -15.260
Uncorrected formation energy (eV per atom): 1.05
Calculated volume (Å³ per atom): 24.88


# 12
Crystalline CsKBa2Se at its relaxed geometry, computed with PBE.

Lattice parameters (Å, degrees): 6.4795 6.4795 7.5370 90.00 90.00 90.00
Closest atoms and distances in Å follow each position.
Space group P4/mmm (No. 123)
One atom of each set of equivalent atoms:
Cs 0.0000 0.0000 0.0000  2 Se 3.77
K 0.5000 0.5000 0.0000  4 Cs 4.58, 8 Ba 4.97
Ba 0.0000 0.5000 0.5000  2 Se 3.24
Se 0.0000 0.0000 0.5000  4 Ba 3.24

Calculated total energy (eV/cell): -12.522
Uncorrected formation energy (eV per atom): -0.65
Calculated volume (Å³ per atom): 63.29


# 13
Crystalline LaGaCo2Au at its relaxed geometry, computed with PBE.

Lattice parameters (Å, degrees): 4.4751 4.4751 5.5960 90.00 90.00 90.00
Closest atoms and distances in Å follow each position.
Space group P4/mmm (No. 123)
One atom of each set of equivalent atoms:
La 0.0000 0.0000 0.0000  2 Ga 2.80
Ga 0.0000 0.0000 0.5000  4 Co 2.24
Co 0.0000 0.5000 0.5000  2 Ga 2.24
Au 0.5000 0.5000 0.0000  4 La 3.16

ΔE_f (eV/f.u.): 2.57
Calculated total energy (eV/cell): -22.868
Calculated volume (Å³ per atom): 22.41


# 14
Crystalline NaPmTmSn at its relaxed geometry, computed with PBE.

Lattice parameters (Å, degrees): 7.5867 7.5867 7.5867 90.00 90.00 90.00
Closest atoms and distances in Å follow each position.
Space group F-43m (No. 216)
One atom of each set of equivalent atoms:
Na 0.0000 0.0000 0.0000  4 Tm 3.29, 4 Pm 3.29
Pm 0.2500 0.2500 0.7500  4 Sn 3.29, 4 Na 3.29
Tm 0.2500 0.2500 0.2500  4 Sn 3.29, 4 Na 3.29
Sn 0.0000 0.0000 0.5000  4 Pm 3.29, 4 Tm 3.29

ΔE_f (eV/f.u.): -1.04
Calculated total energy (eV/cell): -62.325
Calculated volume (Å³ per atom): 27.29


# 15
Crystalline K5Rb2Au3O2 at its relaxed geometry, computed with PBE.

Lattice parameters (Å, degrees): 5.3170 5.3170 28.3412 90.00 90.00 90.00
Closest atoms and distances in Å follow each position.
Space group I4/mmm (No. 139)
One atom of each set of equivalent atoms:
K 0.0000 0.0000 0.0000  2 O 2.69
K 0.0000 0.5000 0.0935  2 O 2.66
Rb 0.0000 0.0000 0.1910  1 O 2.73
Au 0.0000 0.0000 0.3195  4 K 3.63, 5 Rb 3.64-3.77
Au 0.0000 0.0000 0.5000  12 K 3.75-3.76
O 0.0000 0.0000 0.0948  5 K 2.66-2.69, 1 Rb 2.73

Calculated total energy (eV/cell): -70.672
Uncorrected formation energy (eV per atom): -0.68
Calculated volume (Å³ per atom): 33.38


# 16
Crystalline TeAsPI2 at its relaxed geometry, computed with PBE.

Lattice parameters (Å, degrees): 5.5950 5.5950 5.7690 90.00 90.00 90.00
Closest atoms and distances in Å follow each position.
Space group P4/mmm (No. 123)
One atom of each set of equivalent atoms:
Te 0.0000 0.0000 0.0000  2 As 2.88
As 0.0000 0.0000 0.5000  4 I 2.80, 2 Te 2.88
P 0.5000 0.5000 0.0000  4 Te 3.96, 8 I 4.02
I 0.0000 0.5000 0.5000  2 As 2.80

E above lowest polymorph (kJ/mol of formula units): 60
Calculated total energy (eV/cell): -12.241
Uncorrected formation energy (eV per atom): 0.81
Calculated volume (Å³ per atom): 36.12


# 17
Crystalline Ca2RhSe4 at its relaxed geometry, computed with PBE.

Lattice parameters (Å, degrees): 4.9865 4.9865 14.3526 90.00 90.00 90.00
Closest atoms and distances in Å follow each position.
Space group I4/mmm (No. 139)
One atom of each set of equivalent atoms:
Ca 0.0000 0.0000 0.1288  5 Se 2.84-3.10
Rh 0.0000 0.0000 0.5000  6 Se 2.49
Se 0.0000 0.0000 0.3263  1 Rh 2.49
Se 0.0000 0.5000 0.0000  2 Rh 2.49

Calculated total energy (eV/cell): -63.279
Uncorrected formation energy (eV per atom): -0.91
Calculated volume (Å³ per atom): 25.49


# 18
Crystalline NdDyCdPd at its relaxed geometry, computed with PBE.

Lattice parameters (Å, degrees): 7.3662 7.3662 7.3662 90.00 90.00 90.00
Closest atoms and distances in Å follow each position.
Space group F-43m (No. 216)
One atom of each set of equivalent atoms:
Nd 0.0000 0.0000 0.0000  4 Cd 3.19, 4 Pd 3.19
Dy 0.0000 0.0000 0.5000  4 Cd 3.19, 4 Pd 3.19
Cd 0.2500 0.2500 0.7500  4 Dy 3.19, 4 Nd 3.19
Pd 0.2500 0.2500 0.2500  4 Dy 3.19, 4 Nd 3.19

ΔE_f (eV/f.u.): -2.01
Calculated total energy (eV/cell): -69.965
Calculated volume (Å³ per atom): 24.98


# 19
Crystalline Ac8Y3 at its relaxed geometry, computed with PBE.

Lattice parameters (Å, degrees): 13.1662 13.1662 9.6881 90.00 90.00 120.00
Closest atoms and distances in Å follow each position.
Space group R-3 (No. 148, hexagonal axes)
One atom of each set of equivalent atoms:
Ac 0.0000 0.0000 0.2344  3 Y 3.86, 6 Ac 4.29
Ac 0.0332 0.4567 0.1561  2 Y 3.39-3.44, 3 Ac 3.49-3.52
Y 0.0000 0.5000 0.5000  4 Ac 3.39-3.44

ΔE_f (eV/f.u.): 4.41
Calculated total energy (eV/cell): -143.549
Calculated volume (Å³ per atom): 44.07


# 20
Crystalline Sr3Sn2P4 at its relaxed geometry, computed with PBE.

Lattice parameters (Å, degrees): 15.5811 8.3429 8.0909 90.00 92.11 90.00
Closest atoms and distances in Å follow each position.
Space group C2/c (No. 15)
One atom of each set of equivalent atoms:
Sr 0.0000 0.0139 0.2500  4 P 3.07-3.16
Sr 0.1237 0.4139 0.8633  6 P 3.05-3.34
Sn 0.1831 0.1348 0.5167  3 P 2.48-2.62
P 0.0418 0.2721 0.5108  1 Sn 2.48
P 0.2273 0.0945 0.8292  2 Sn 2.55-2.62

E above lowest polymorph (kJ/mol of formula units): 94
ΔE_f (eV/f.u.): -6.02
Calculated total energy (eV/cell): -162.831
Calculated volume (Å³ per atom): 29.20


# 21
Crystalline NaYSe2O8 at its relaxed geometry, computed with PBE.

Lattice parameters (Å, degrees): 5.2666 5.2666 23.3962 90.00 90.00 120.00
Closest atoms and distances in Å follow each position.
Space group R-3 (No. 148, hexagonal axes)
One atom of each set of equivalent atoms:
Na 0.0000 0.0000 0.0000  12 O 3.05-3.15
Y 0.0000 0.0000 0.5000  6 O 2.29
Se 0.0000 0.0000 0.2505  4 O 1.64-1.68
O 0.0000 0.0000 0.3207  1 Se 1.64
O 0.0060 0.7038 0.2252  1 Se 1.68

Calculated total energy (eV/cell): -215.839
Uncorrected formation energy (eV per atom): -1.46
Calculated volume (Å³ per atom): 15.61


# 22
Crystalline OsRh3N at its relaxed geometry, computed with PBE.

Lattice parameters (Å, degrees): 4.0442 4.0442 4.0442 90.00 90.00 90.00
Closest atoms and distances in Å follow each position.
Space group Pm-3m (No. 221)
One atom of each set of equivalent atoms:
Os 0.0000 0.0000 0.0000  12 Rh 2.86
Rh 0.0000 0.5000 0.5000  2 N 2.02
N 0.5000 0.5000 0.5000  6 Rh 2.02

E above lowest polymorph (kJ/mol of formula units): 0
Calculated total energy (eV/cell): -38.401
Uncorrected formation energy (eV per atom): 0.64
Calculated volume (Å³ per atom): 13.23


# 23
Crystalline HoErTl at its relaxed geometry, computed with PBE.

Lattice parameters (Å, degrees): 5.2273 5.2273 3.6563 90.00 90.00 120.00
Closest atoms and distances in Å follow each position.
Space group P3m1 (No. 156)
One atom of each set of equivalent atoms:
Ho 0.0000 0.0000 0.0000  3 Tl 3.22, 6 Er 3.46-3.60
Er 0.3333 0.6667 0.4639  3 Tl 3.14, 3 Ho 3.46
Tl 0.6667 0.3333 0.6962  3 Er 3.14, 3 Ho 3.22

E above lowest polymorph (kJ/mol of formula units): 36
ΔE_f (eV/f.u.): -0.38
Calculated total energy (eV/cell): -11.884
Calculated volume (Å³ per atom): 28.84


# 24
Crystalline HfTiV3 at its relaxed geometry, computed with PBE.

Lattice parameters (Å, degrees): 4.4321 4.4321 4.4321 90.00 90.00 90.00
Closest atoms and distances in Å follow each position.
Space group Pm-3m (No. 221)
One atom of each set of equivalent atoms:
Hf 0.0000 0.0000 0.0000  12 V 3.13
Ti 0.5000 0.5000 0.5000  6 V 2.22
V 0.0000 0.5000 0.5000  2 Ti 2.22

E above lowest polymorph (kJ/mol of formula units): 0
ΔE_f (eV/f.u.): 4.53
Calculated total energy (eV/cell): -40.675
Calculated volume (Å³ per atom): 17.41


# 25
Crystalline CoBi3H at its relaxed geometry, computed with PBE.

Lattice parameters (Å, degrees): 4.8018 4.8018 4.8018 90.00 90.00 90.00
Closest atoms and distances in Å follow each position.
Space group Pm-3m (No. 221)
One atom of each set of equivalent atoms:
Co 0.0000 0.0000 0.0000  12 Bi 3.40
Bi 0.0000 0.5000 0.5000  2 H 2.40
H 0.5000 0.5000 0.5000  6 Bi 2.40

E above lowest polymorph (kJ/mol of formula units): 0
Calculated total energy (eV/cell): -18.392
Calculated volume (Å³ per atom): 22.14